[1]
Below is a PBEsol-optimized structure of La3In5, with properties calculated at the meta-GGA SCAN level.

Cell: 6.623 6.623 10.473 Å, 90.00 90.00 101.86°
Fractional coordinates of all 16 atoms:
In 0.495 0.073 0.250
In 0.073 0.495 0.250
La 0.206 0.794 0.500
In 0.303 0.303 0.052
In 0.927 0.505 0.750
La 0.794 0.206 0.500
La 0.372 0.372 0.750
In 0.990 0.990 0.750
La 0.628 0.628 0.250
In 0.697 0.697 0.948
In 0.505 0.927 0.750
In 0.010 0.010 0.250
La 0.794 0.206 0.000
In 0.303 0.303 0.448
In 0.697 0.697 0.552
La 0.206 0.794 0.000

Results
For the density of states at the Fermi level, the calculation gives 5.6 states/eV/f.u. As for the symmetry: No. 63. The calculation puts the energy of formation from the pure elements at -0.7211 eV/atom.

[2]
Below is a PBEsol-optimized structure of LaIn5, with properties calculated at the meta-GGA SCAN level.

Cell: 4.646 4.975 7.031 Å, 90.00 109.29 90.00°
Fractional coordinates of all 6 atoms:
In 0.822 0.500 0.643
In 0.330 0.000 0.661
La 0.500 0.500 0.000
In 0.670 0.000 0.339
In 0.000 0.000 0.000
In 0.178 0.500 0.357

Results
For the density of states at the Fermi level, the calculation gives 2.5 states/eV/f.u. As for the symmetry: No. 65. The calculation puts the energy of formation from the pure elements at -0.3449 eV/atom.

Here are the calculated E numbers, same order: -37.752 -35.351 (eV/atom).